Material: ScTlCdCl6
Method: DFT, GGA-PBE
State: optimized geometry

Cell and atoms, written as POSCAR:
```
ScTlCdCl6
1.0
6.7859 0.0000 0.0000
-3.3929 5.8767 0.0000
0.0000 0.0000 13.9758
Sc Tl Cd Cl
2 2 2 12
direct
0.6667 0.3333 0.2500 Sc
0.3333 0.6667 0.7500 Sc
0.0000 0.0000 0.0000 Tl
0.0000 0.0000 0.5000 Tl
0.3333 0.6667 0.2500 Cd
0.6667 0.3333 0.7500 Cd
0.6334 0.6166 0.1450 Cl
0.9832 0.3666 0.1450 Cl
0.3666 0.9832 0.6450 Cl
0.0168 0.6334 0.8550 Cl
0.3834 0.3666 0.3550 Cl
0.9832 0.6166 0.3550 Cl
0.6166 0.9832 0.8550 Cl
0.6334 0.0168 0.3550 Cl
0.0168 0.3834 0.6450 Cl
0.3834 0.0168 0.1450 Cl
0.6166 0.6334 0.6450 Cl
0.3666 0.3834 0.8550 Cl
```

VASP energy ... -3.85 eV/atom
E_form (uncorrected) ... -1.547 eV/atom
DOS at the Fermi energy ... 0.00 states/eV/cell
ρ ... 3.4 g cm⁻³